[1]
Entry from Alexandria: PAuS4 after structural relaxation (PBE).

POSCAR file:
```
PAuS4
1.0
-4.956 -1.561 3.754
3.196 -4.415 5.000
1.484 5.966 6.079
P S Au
2 8 2
direct
0.743 0.253 0.246
0.257 0.747 0.754
0.558 0.736 0.642
0.442 0.264 0.358
0.055 0.003 0.723
0.756 0.289 0.005
0.945 0.997 0.277
0.244 0.711 0.995
0.168 0.538 0.657
0.832 0.462 0.343
0.500 0.500 0.500
0.000 0.000 0.000
```

## Properties
formation energy without anion corrections: -1.027 eV/f.u.
excess energy over the best structure of this formula in the dataset: 0.0000 eV/atom
total energy: -4.3707 eV/atom

=====

[2]
Entry from Alexandria: PAu2S4 after structural relaxation (PBE).

POSCAR file:
```
PAu2S4
1.0
3.627 0.000 0.000
0.000 6.584 -0.465
-1.814 -3.705 6.057
S Au P
4 2 1
direct
0.389 0.725 0.777
0.611 0.275 0.223
0.877 0.113 0.754
0.123 0.887 0.246
0.697 0.702 0.395
0.303 0.298 0.605
0.000 0.000 0.000
```

## Properties
formation energy without anion corrections: 1.774 eV/f.u.
total energy: -3.8143 eV/atom

=====

Magnetic moment, record by record: 0.0000 0.0000 μB per atom